An optimized crystal structure of CdHN2O. Source: the Alexandria database, functional PBE-GGA.

Cell: 3.0203 3.0203 6.3294 Å, 90.00 90.00 90.00°
With the nearest neighbours (Å) after each atom.
Sites, in units of the cell vectors:
Cd1 0.0000 0.0000 0.0000  4 O 2.14
H1 0.5000 0.5000 0.5000  4 N 1.51
N1 0.0000 0.5000 0.5000  2 H 1.51
N2 0.5000 0.0000 0.5000  2 H 1.51
O1 0.5000 0.5000 0.0000  4 Cd 2.14

Properties
* crystal system: tetragonal
* space group: P4/mmm

---

An optimized crystal structure of Hf2TcAu. Source: the Alexandria database, functional PBE-GGA.

Cell: 3.3385 3.3385 6.6564 Å, 90.00 90.00 90.00°
With the nearest neighbours (Å) after each atom.
Sites, in units of the cell vectors:
Hf1 0.0000 0.0000 0.2336  4 Tc 2.83, 4 Au 2.95, 1 Hf 3.11
Hf2 0.0000 0.0000 0.7664  4 Tc 2.83, 4 Au 2.95, 1 Hf 3.11
Tc1 0.5000 0.5000 0.0000  8 Hf 2.83
Au1 0.5000 0.5000 0.5000  8 Hf 2.95

Properties
* crystal system: tetragonal
* calculated formation energy: -0.561 eV per atom
* space group: P4/mmm

---

An optimized crystal structure of B3HI. Source: the Alexandria database, functional PBE-GGA.

Cell: 3.7881 3.7881 3.7881 Å, 90.00 90.00 90.00°
With the nearest neighbours (Å) after each atom.
Sites, in units of the cell vectors:
B1 0.0000 0.0000 0.5000  2 H 1.89
B2 0.0000 0.5000 0.0000  2 H 1.89
B3 0.5000 0.0000 0.0000  2 H 1.89
H1 0.0000 0.0000 0.0000  6 B 1.89
I1 0.5000 0.5000 0.5000  12 B 2.68

Properties
* crystal system: cubic
* ΔE to the lowest computed polymorph: 0.0 meV/atom
* space group: Pm-3m

---

An optimized crystal structure of Pm8Tl3Pb4. Source: the Alexandria database, functional PBE-GGA.

Cell: 9.0749 9.0749 7.6445 Å, 114.77 114.77 89.28°
With the nearest neighbours (Å) after each atom.
Sites, in units of the cell vectors:
Pm1 0.2417 0.7583 0.0000  2 Tl 3.23, 3 Pb 3.24-3.29
Pm2 0.2458 0.2458 0.9976  3 Tl 3.19-3.27, 2 Pb 3.21-3.27
Pm3 0.2484 0.7516 0.5000  3 Pb 3.17-3.23, 3 Tl 3.21-3.24
Pm4 0.2501 0.2501 0.5065  4 Pb 3.19-3.21, 1 Tl 3.26
Pm5 0.7499 0.7499 0.4935  4 Pb 3.19-3.21, 1 Tl 3.26
Pm6 0.7516 0.2484 0.5000  3 Pb 3.17-3.23, 3 Tl 3.21-3.24
Pm7 0.7542 0.7542 0.0024  3 Tl 3.19-3.27, 2 Pb 3.21-3.27
Pm8 0.7583 0.2417 0.0000  2 Tl 3.23, 3 Pb 3.24-3.29
Tl1 0.0000 0.5000 0.0000  6 Pm 3.19-3.24
Tl2 0.5000 0.0000 0.0000  6 Pm 3.19-3.24
Tl3 0.5000 0.5000 0.5000  6 Pm 3.21-3.27
Pb1 0.0000 0.0000 0.5000  6 Pm 3.17-3.21
Pb2 0.0000 0.5000 0.5000  6 Pm 3.19-3.24
Pb3 0.5000 0.0000 0.5000  6 Pm 3.19-3.24
Pb4 0.5000 0.5000 0.0000  6 Pm 3.21-3.29

Properties
* crystal system: monoclinic
* calculated formation energy: -0.272 eV per atom
* space group: C2/m

---

An optimized crystal structure of CaHo2Co9. Source: the Alexandria database, functional PBE-GGA.

Cell: 8.5210 8.5210 8.5210 Å, 34.24 34.24 34.24°
With the nearest neighbours (Å) after each atom.
Sites, in units of the cell vectors:
Ca1 0.0000 0.0000 0.0000  18 Co 2.90-3.19
Ho1 0.1393 0.1393 0.1393  12 Co 2.86-3.05, 3 Ho 3.18
Ho2 0.8607 0.8607 0.8607  12 Co 2.86-3.05, 3 Ho 3.18
Co1 0.0781 0.5841 0.5841  7 Co 2.42-2.54
Co2 0.3352 0.3352 0.3352  6 Co 2.42-2.47
Co3 0.4159 0.4159 0.9219  7 Co 2.42-2.54
Co4 0.4159 0.9219 0.4159  7 Co 2.42-2.54
Co5 0.5000 0.5000 0.5000  6 Co 2.51
Co6 0.5841 0.0781 0.5841  7 Co 2.42-2.54
Co7 0.5841 0.5841 0.0781  7 Co 2.42-2.54
Co8 0.6648 0.6648 0.6648  6 Co 2.42-2.47
Co9 0.9219 0.4159 0.4159  7 Co 2.42-2.54

Properties
* crystal system: trigonal
* calculated formation energy: -0.097 eV per atom
* space group: R-3m

---

An optimized crystal structure of La4Ce3YN8. Source: the Alexandria database, functional PBE-GGA.

Cell: 7.2957 7.2957 7.2957 Å, 59.60 59.60 59.60°
With the nearest neighbours (Å) after each atom.
Sites, in units of the cell vectors:
La1 0.0000 0.0000 0.0000  6 N 2.64
La2 0.0000 0.5000 0.5000  6 N 2.66
La3 0.5000 0.0000 0.5000  6 N 2.66
La4 0.5000 0.5000 0.0000  6 N 2.66
Ce1 0.0000 0.0000 0.5000  6 N 2.49
Ce2 0.0000 0.5000 0.0000  6 N 2.49
Ce3 0.5000 0.0000 0.0000  6 N 2.49
Y1 0.5000 0.5000 0.5000  6 N 2.51
N1 0.2405 0.7437 0.7437  2 Ce 2.49, 1 Y 2.51, 3 La 2.64-2.66
N2 0.2419 0.2419 0.2419  3 Ce 2.49, 3 La 2.66
N3 0.2563 0.2563 0.7595  2 Ce 2.49, 1 Y 2.51, 3 La 2.64-2.66
N4 0.2563 0.7595 0.2563  2 Ce 2.49, 1 Y 2.51, 3 La 2.64-2.66
N5 0.7437 0.2405 0.7437  2 Ce 2.49, 1 Y 2.51, 3 La 2.64-2.66
N6 0.7437 0.7437 0.2405  2 Ce 2.49, 1 Y 2.51, 3 La 2.64-2.66
N7 0.7581 0.7581 0.7581  3 Ce 2.49, 3 La 2.66
N8 0.7595 0.2563 0.2563  2 Ce 2.49, 1 Y 2.51, 3 La 2.64-2.66

Properties
* raw formation energy: -1441 meV/atom
* crystal system: trigonal
* space group: R-3m

---

An optimized crystal structure of Rb4CeNd3S8. Source: the Alexandria database, functional PBE-GGA.

Cell: 9.1233 9.1233 9.1233 Å, 55.31 55.31 55.31°
With the nearest neighbours (Å) after each atom.
Sites, in units of the cell vectors:
Rb1 0.0000 0.0000 0.0000  6 S 3.38
Rb2 0.0000 0.5000 0.5000  6 S 3.38
Rb3 0.5000 0.0000 0.5000  6 S 3.38
Rb4 0.5000 0.5000 0.0000  6 S 3.38
Ce1 0.5000 0.5000 0.5000  6 S 2.88
Nd1 0.0000 0.0000 0.5000  6 S 2.88
Nd2 0.0000 0.5000 0.0000  6 S 2.88
Nd3 0.5000 0.0000 0.0000  6 S 2.88
S1 0.2322 0.7322 0.7322  2 Nd 2.88, 1 Ce 2.88
S2 0.2325 0.2325 0.2325  3 Nd 2.88
S3 0.2678 0.2678 0.7678  2 Nd 2.88, 1 Ce 2.88
S4 0.2678 0.7678 0.2678  2 Nd 2.88, 1 Ce 2.88
S5 0.7322 0.2322 0.7322  2 Nd 2.88, 1 Ce 2.88
S6 0.7322 0.7322 0.2322  2 Nd 2.88, 1 Ce 2.88
S7 0.7675 0.7675 0.7675  3 Nd 2.88
S8 0.7678 0.2678 0.2678  2 Nd 2.88, 1 Ce 2.88

Properties
* raw formation energy: -1808 meV/atom
* crystal system: trigonal
* space group: R-3m

---

An optimized crystal structure of DyHoIr. Source: the Alexandria database, functional PBE-GGA.

Cell: 6.7773 6.7772 6.7725 Å, 90.00 90.13 90.00°
With the nearest neighbours (Å) after each atom.
Sites, in units of the cell vectors:
Dy1 0.0000 0.0006 0.2500  4 Ir 2.93
Dy2 0.0000 0.9994 0.7500  4 Ir 2.93
Dy3 0.5000 0.4994 0.7500  4 Ir 2.93
Dy4 0.5000 0.5006 0.2500  4 Ir 2.93
Ho1 0.0000 0.5005 0.2500  4 Ir 2.93-2.94
Ho2 0.0000 0.4995 0.7500  4 Ir 2.93-2.94
Ho3 0.5000 0.0005 0.2500  4 Ir 2.93-2.94
Ho4 0.5000 0.9995 0.7500  4 Ir 2.93-2.94
Ir1 0.2500 0.2500 0.0000  4 Ho 2.93-2.94, 4 Dy 2.93
Ir2 0.2500 0.7500 0.5000  4 Ho 2.93-2.94, 4 Dy 2.93
Ir3 0.7500 0.2500 0.5000  4 Ho 2.93-2.94, 4 Dy 2.93
Ir4 0.7500 0.7500 0.0000  4 Ho 2.93-2.94, 4 Dy 2.93

Properties
* crystal system: monoclinic
* ΔE to the lowest computed polymorph: 0.0 meV/atom
* calculated formation energy: -0.718 eV per atom
* space group: C2/c

---

An optimized crystal structure of Cs3ErAg2Br9. Source: the Alexandria database, functional PBE-GGA.

Cell: 7.9153 7.9153 9.8146 Å, 90.00 90.00 120.00°
With the nearest neighbours (Å) after each atom.
Sites, in units of the cell vectors:
Cs1 0.0000 0.0000 0.0000  12 Br 3.96-4.01
Cs2 0.3333 0.6667 0.6778  12 Br 3.90-4.06
Cs3 0.6667 0.3333 0.3222  12 Br 3.90-4.06
Er1 0.0000 0.0000 0.5000  6 Br 2.78
Ag1 0.3333 0.6667 0.1532  6 Br 2.74-2.92
Ag2 0.6667 0.3333 0.8468  6 Br 2.74-2.92
Br1 0.0000 0.5000 0.0000  2 Ag 2.74
Br2 0.1657 0.3314 0.3373  1 Er 2.78, 1 Ag 2.92
Br3 0.1657 0.8343 0.3373  1 Er 2.78, 1 Ag 2.92
Br4 0.3314 0.1657 0.6627  1 Er 2.78, 1 Ag 2.92
Br5 0.5000 0.0000 0.0000  2 Ag 2.74
Br6 0.5000 0.5000 0.0000  2 Ag 2.74
Br7 0.6686 0.8343 0.3373  1 Er 2.78, 1 Ag 2.92
Br8 0.8343 0.1657 0.6627  1 Er 2.78, 1 Ag 2.92
Br9 0.8343 0.6686 0.6627  1 Er 2.78, 1 Ag 2.92

Properties
* raw formation energy: -1335 meV/atom
* crystal system: trigonal
* space group: P-3m1

---

An optimized crystal structure of Pm4Pr3Au4. Source: the Alexandria database, functional PBE-GGA.

Cell: 9.3708 9.3708 9.3708 Å, 149.09 130.68 59.35°
With the nearest neighbours (Å) after each atom.
Sites, in units of the cell vectors:
Pm1 0.0463 0.8279 0.2184  4 Au 2.90-3.06
Pm2 0.3905 0.1721 0.2184  4 Au 2.90-3.06
Pm3 0.6095 0.8279 0.7816  4 Au 2.90-3.06
Pm4 0.9537 0.1721 0.7816  4 Au 2.90-3.06
Pr1 0.0000 0.5000 0.5000  6 Au 3.28-3.49
Pr2 0.3993 0.3993 0.0000  1 Pr 3.28, 4 Au 3.33, 4 Pm 3.53
Pr3 0.6007 0.6007 0.0000  1 Pr 3.28, 4 Au 3.33, 4 Pm 3.53
Au1 0.2017 0.7017 0.5000  6 Pm 3.01-3.06, 1 Pr 3.28
Au2 0.3117 0.0000 0.3117  2 Pm 2.90, 1 Au 2.94
Au3 0.6883 0.0000 0.6883  2 Pm 2.90, 1 Au 2.94
Au4 0.7983 0.2983 0.5000  6 Pm 3.01-3.06, 1 Pr 3.28

Properties
* crystal system: orthorhombic
* calculated formation energy: -0.522 eV per atom
* space group: Immm

---

An optimized crystal structure of DyAlZn3. Source: the Alexandria database, functional PBE-GGA.

Cell: 5.9434 5.9647 5.9753 Å, 90.00 119.23 90.00°
With the nearest neighbours (Å) after each atom.
Sites, in units of the cell vectors:
Dy1 0.0000 0.0000 0.0000  12 Zn 3.20-3.39, 4 Al 3.21-3.22
Dy2 0.5000 0.5000 0.0000  12 Zn 3.20-3.39, 4 Al 3.21-3.22
Al1 0.1144 0.5000 0.2323  5 Zn 2.42-2.54
Al2 0.6144 0.0000 0.2323  5 Zn 2.42-2.54
Zn1 0.0029 0.2463 0.5052  2 Zn 2.51, 2 Al 2.54
Zn2 0.0029 0.7537 0.5052  2 Zn 2.51, 2 Al 2.54
Zn3 0.3852 0.0000 0.7678  1 Al 2.42, 4 Zn 2.51
Zn4 0.5029 0.2537 0.5052  2 Zn 2.51, 2 Al 2.54
Zn5 0.5029 0.7463 0.5052  2 Zn 2.51, 2 Al 2.54
Zn6 0.8852 0.5000 0.7678  1 Al 2.42, 4 Zn 2.51

Properties
* crystal system: monoclinic
* ΔE to the lowest computed polymorph: 0.0 meV/atom
* calculated formation energy: -0.318 eV per atom
* space group: Cm

---

An optimized crystal structure of NdHo12Sc2. Source: the Alexandria database, functional PBE-GGA.

Cell: 6.2560 6.2560 25.0756 Å, 90.00 90.00 90.00°
With the nearest neighbours (Å) after each atom.
Sites, in units of the cell vectors:
Nd1 0.2500 0.7500 0.0000  4 Ho 3.38
Nd2 0.7500 0.2500 0.0000  4 Ho 3.38
Ho1 0.0671 0.5671 0.1182  7 Ho 3.24-3.39, 1 Nd 3.38
Ho2 0.0671 0.9329 0.8818  7 Ho 3.24-3.39, 1 Nd 3.38
Ho3 0.0804 0.5804 0.4394  6 Ho 3.00-3.35
Ho4 0.0804 0.9196 0.5606  6 Ho 3.00-3.35
Ho5 0.2500 0.2500 0.2181  5 Ho 3.04-3.39
Ho6 0.2500 0.2500 0.3392  1 Ho 3.04
Ho7 0.2500 0.2500 0.6608  1 Ho 3.04
Ho8 0.2500 0.2500 0.7819  5 Ho 3.04-3.39
Ho9 0.4196 0.5804 0.5606  6 Ho 3.00-3.35
Ho10 0.4196 0.9196 0.4394  6 Ho 3.00-3.35
Ho11 0.4329 0.5671 0.8818  7 Ho 3.24-3.39, 1 Nd 3.38
Ho12 0.4329 0.9329 0.1182  7 Ho 3.24-3.39, 1 Nd 3.38
Ho13 0.5671 0.0671 0.8818  7 Ho 3.24-3.39, 1 Nd 3.38
Ho14 0.5671 0.4329 0.1182  7 Ho 3.24-3.39, 1 Nd 3.38
Ho15 0.5804 0.0804 0.5606  6 Ho 3.00-3.35
Ho16 0.5804 0.4196 0.4394  6 Ho 3.00-3.35
Ho17 0.7500 0.7500 0.2181  5 Ho 3.04-3.39
Ho18 0.7500 0.7500 0.3392  1 Ho 3.04
Ho19 0.7500 0.7500 0.6608  1 Ho 3.04
Ho20 0.7500 0.7500 0.7819  5 Ho 3.04-3.39
Ho21 0.9196 0.0804 0.4394  6 Ho 3.00-3.35
Ho22 0.9196 0.4196 0.5606  6 Ho 3.00-3.35
Ho23 0.9329 0.0671 0.1182  7 Ho 3.24-3.39, 1 Nd 3.38
Ho24 0.9329 0.4329 0.8818  7 Ho 3.24-3.39, 1 Nd 3.38
Sc1 0.2500 0.7500 0.2760  8 Ho 3.45-3.51
Sc2 0.2500 0.7500 0.7240  8 Ho 3.45-3.51
Sc3 0.7500 0.2500 0.2760  8 Ho 3.45-3.51
Sc4 0.7500 0.2500 0.7240  8 Ho 3.45-3.51

Properties
* crystal system: tetragonal
* calculated formation energy: 0.357 eV per atom
* space group: P4/nbm

---

Calculated values (states/eV/cell) of DOS at the Fermi energy for the records, taken in order: 2.40 1.76 1.88 14.03 16.44 8.22 4.89 8.60 6.91 8.75 4.86 40.11.
Calculated values (eV/atom) of VASP energy for the records, taken in order: -3.7733 -8.9486 -2.6609 -4.2674 -6.3565 -8.3519 -5.3788 -6.7319 -3.1935 -4.7451 -2.7513 -4.4671.
Calculated values (μB per formula unit) of magnetization for the records, taken in order: 0.99 0.00 0.00 0.72 11.56 0.00 1.01 0.00 0.00 0.00 0.00 0.00.